Below is a relaxed structure of RbZnCl3, with properties calculated at the PBE-GGA level.

a b c (Å): 7.045 5.965 8.570
angles (deg): 90.00 111.50 90.00
Positions (direct):
Rb 0.048 0.000 0.252
Rb 0.952 0.500 0.748
Zn 0.486 0.074 0.855
Zn 0.514 0.574 0.145
Cl 0.184 0.988 0.661
Cl 0.215 0.497 0.170
Cl 0.489 0.472 0.874
Cl 0.511 0.972 0.126
Cl 0.785 0.997 0.830
Cl 0.816 0.488 0.339

Output
Electronic total energy, Ha/atom: -0.113

=====

Below is a relaxed structure of NaNdSO, with properties calculated at the PBE-GGA level.

a b c (Å): 4.387 7.404 6.207
angles (deg): 90.00 90.00 90.00
Positions (direct):
Na 0.000 0.201 0.000
Na 0.000 0.799 0.500
Nd 0.500 0.353 0.431
Nd 0.500 0.647 0.931
S 0.000 0.170 0.555
S 0.000 0.830 0.055
O 0.500 0.373 0.075
O 0.500 0.627 0.575

Output
ΔE to the lowest computed polymorph, eV per formula unit: 0.72
Total magnetization, μB/atom: 0.00

=====

Below is a relaxed structure of LaTmAu, with properties calculated at the PBE-GGA level.

a b c (Å): 4.921 4.921 4.921
angles (deg): 60.00 60.00 60.00
Positions (direct):
La 0.000 0.000 0.000
Tm 0.750 0.750 0.750
Au 0.500 0.500 0.500

Output
Formation energy, eV/atom: -0.025
Total magnetization, μB/atom: 0.00

=====

Below is a relaxed structure of PaAgOs, with properties calculated at the PBE-GGA level.

a b c (Å): 4.638 4.638 4.638
angles (deg): 60.00 60.00 60.00
Positions (direct):
Pa 0.000 0.000 0.000
Ag 0.750 0.750 0.750
Os 0.250 0.250 0.250

Output
Formation energy, eV/atom: 0.649
ΔE to the lowest computed polymorph, eV per formula unit: 1.05
Total magnetization, μB/atom: 0.00

=====

Below is a relaxed structure of SmPd4Au, with properties calculated at the PBE-GGA level.

a b c (Å): 5.348 5.348 5.348
angles (deg): 60.00 60.00 60.00
Positions (direct):
Sm 0.000 0.000 0.000
Pd 0.126 0.625 0.625
Pd 0.625 0.126 0.625
Pd 0.625 0.625 0.126
Pd 0.625 0.625 0.625
Au 0.250 0.250 0.250

Output
Formation energy, eV/atom: -0.597
Total magnetization, μB/atom: 0.00

=====

Below is a relaxed structure of UTaTe, with properties calculated at the PBE-GGA level.

a b c (Å): 4.746 4.746 4.746
angles (deg): 60.00 60.00 60.00
Positions (direct):
U 0.000 0.000 0.000
Ta 0.250 0.250 0.250
Te 0.500 0.500 0.500

Output
ΔE to the lowest computed polymorph, eV per formula unit: 0.00
Total magnetization, μB/atom: 1.00

=====

Below is a relaxed structure of CsCuSnS3, with properties calculated at the PBE-GGA level.

a b c (Å): 15.473 3.943 10.308
angles (deg): 90.00 90.00 90.00
Positions (direct):
Cs 0.228 0.250 0.019
Cs 0.272 0.750 0.519
Cs 0.728 0.250 0.481
Cs 0.772 0.750 0.981
Cu 0.009 0.750 0.076
Cu 0.491 0.250 0.576
Cu 0.509 0.750 0.424
Cu 0.991 0.250 0.924
Sn 0.014 0.250 0.341
Sn 0.486 0.750 0.841
Sn 0.514 0.250 0.159
Sn 0.986 0.750 0.659
S 0.072 0.750 0.870
S 0.087 0.250 0.565
S 0.110 0.750 0.250
S 0.390 0.250 0.750
S 0.413 0.750 0.065
S 0.428 0.250 0.370
S 0.572 0.750 0.630
S 0.587 0.250 0.935
S 0.610 0.750 0.250
S 0.890 0.250 0.750
S 0.913 0.750 0.435
S 0.928 0.250 0.130

Output
ΔE to the lowest computed polymorph, eV per formula unit: 0.00

=====

Below is a relaxed structure of Nb6Sn5, with properties calculated at the PBE-GGA level.

a b c (Å): 10.052 10.052 10.052
angles (deg): 147.16 124.99 65.57
Positions (direct):
Nb 0.000 0.000 0.500
Nb 0.000 0.500 0.000
Nb 0.145 0.416 0.729
Nb 0.154 0.154 0.000
Nb 0.313 0.584 0.729
Nb 0.500 0.000 0.000
Nb 0.500 0.261 0.761
Nb 0.500 0.500 0.500
Nb 0.500 0.739 0.239
Nb 0.687 0.416 0.271
Nb 0.846 0.846 0.000
Nb 0.855 0.584 0.271
Sn 0.000 0.245 0.245
Sn 0.000 0.755 0.755
Sn 0.203 0.896 0.307
Sn 0.206 0.706 0.500
Sn 0.332 0.332 0.000
Sn 0.410 0.104 0.307
Sn 0.590 0.896 0.693
Sn 0.668 0.668 0.000
Sn 0.794 0.294 0.500
Sn 0.797 0.104 0.693

Output
Electronic total energy, Ha/atom: -0.275
Total magnetization, μB/atom: 0.00

=====

Below is a relaxed structure of Zr3Ta3Ga2Fe, with properties calculated at the PBE-GGA level.

a b c (Å): 7.629 7.629 3.245
angles (deg): 90.00 90.00 120.00
Positions (direct):
Zr 0.000 0.744 0.000
Zr 0.256 0.256 0.000
Zr 0.744 0.000 0.000
Ta 0.000 0.403 0.500
Ta 0.403 0.000 0.500
Ta 0.597 0.597 0.500
Ga 0.333 0.667 0.000
Ga 0.667 0.333 0.000
Fe 0.000 0.000 0.500

Output
ΔE to the lowest computed polymorph, eV per formula unit: 1.52
Total magnetization, μB/atom: 0.00

=====

Below is a relaxed structure of NdSm2In, with properties calculated at the PBE-GGA level.

a b c (Å): 4.952 4.952 4.928
angles (deg): 90.00 90.00 90.00
Positions (direct):
Nd 0.000 0.000 0.000
Sm 0.000 0.500 0.500
Sm 0.500 0.000 0.500
In 0.500 0.500 0.000

Output
Electronic total energy, Ha/atom: -0.166
Total magnetization, μB/atom: 0.01

=====

Below is a relaxed structure of NbInGa, with properties calculated at the PBE-GGA level.

a b c (Å): 4.595 4.595 4.595
angles (deg): 60.00 60.00 60.00
Positions (direct):
Nb 0.000 0.000 0.000
In 0.750 0.750 0.750
Ga 0.500 0.500 0.500

Output
Electronic total energy, Ha/atom: -0.167
Total magnetization, μB/atom: 0.77

=====

Below is a relaxed structure of LuNiIr, with properties calculated at the PBE-GGA level.

a b c (Å): 4.341 4.341 4.341
angles (deg): 60.00 60.00 60.00
Positions (direct):
Lu 0.000 0.000 0.000
Ni 0.250 0.250 0.250
Ir 0.750 0.750 0.750

Output
Formation energy, eV/atom: 0.221
Total magnetization, μB/atom: 0.01